# 1
# PBEsol CrAg2Ru, relaxed
data_CrAg2Ru
_chemical_formula_sum 'Cr1 Ag2 Ru1'
_space_group_name_H-M_alt 'P 4/m m m'
_space_group_IT_number 123
_space_group_name_Hall '-P 4 2'
_cell_length_a 3.710
_cell_length_b 3.710
_cell_length_c 4.282
_cell_angle_alpha 90.00
_cell_angle_beta 90.00
_cell_angle_gamma 90.00
loop_
_atom_site_label
_atom_site_type_symbol
_atom_site_fract_x
_atom_site_fract_y
_atom_site_fract_z
Cr1 Cr 0.000 0.000 0.000
Ag1 Ag 0.000 0.500 0.500
Ru1 Ru 0.500 0.500 0.000
# - Crystal system: tetragonal
# - Excess energy over the best structure of this formula in the dataset: 0.0 kJ/mol of atoms
# - ΔE_f: 2.1 eV per formula unit

# 2
# PBEsol PtRhBr2, relaxed
data_PtRhBr2
_chemical_formula_sum 'Pt4 Rh4 Br8'
_space_group_name_H-M_alt 'F m -3 m'
_space_group_IT_number 225
_space_group_name_Hall '-F 4 2 3'
_cell_length_a 6.488
_cell_length_b 6.488
_cell_length_c 6.488
_cell_angle_alpha 90.00
_cell_angle_beta 90.00
_cell_angle_gamma 90.00
loop_
_atom_site_label
_atom_site_type_symbol
_atom_site_fract_x
_atom_site_fract_y
_atom_site_fract_z
Pt1 Pt 0.000 0.000 0.000
Rh1 Rh 0.000 0.000 0.500
Br1 Br 0.250 0.250 0.250
# - Uncorrected formation energy: 2.927 eV per formula unit
# - Crystal system: cubic
# - Excess energy over the best structure of this formula in the dataset: 35.2 kJ/mol of atoms

# 3
# PBEsol Cd2CoRu, relaxed
data_Cd2CoRu
_chemical_formula_sum 'Cd4 Co2 Ru2'
_space_group_name_H-M_alt 'I -4 m 2'
_space_group_IT_number 119
_space_group_name_Hall 'I -4 -2'
_cell_length_a 4.060
_cell_length_b 4.060
_cell_length_c 7.466
_cell_angle_alpha 90.00
_cell_angle_beta 90.00
_cell_angle_gamma 90.00
loop_
_atom_site_label
_atom_site_type_symbol
_atom_site_fract_x
_atom_site_fract_y
_atom_site_fract_z
Cd1 Cd 0.000 0.000 0.000
Cd2 Cd 0.000 0.500 0.250
Co1 Co 0.000 0.000 0.500
Ru1 Ru 0.000 0.500 0.750
# - Crystal system: tetragonal
# - Excess energy over the best structure of this formula in the dataset: 0.0 kJ/mol of atoms
# - ΔE_f: 1.7 eV per formula unit

# 4
# PBEsol TbAl3B4O12, relaxed
data_TbAl3B4O12
_chemical_formula_sum 'Tb3 Al9 B12 O36'
_space_group_name_H-M_alt 'R 3 2'
_space_group_IT_number 155
_space_group_name_Hall 'R 3 2"'
_cell_length_a 9.3105
_cell_length_b 9.3105
_cell_length_c 7.2089
_cell_angle_alpha 90.00
_cell_angle_beta 90.00
_cell_angle_gamma 120.00
loop_
_atom_site_label
_atom_site_type_symbol
_atom_site_fract_x
_atom_site_fract_y
_atom_site_fract_z
Tb1 Tb 0.0000 0.0000 0.0000
Al1 Al 0.0000 0.5557 0.0000
B1 B 0.0000 0.0000 0.5000
B2 B 0.0000 0.4431 0.5000
O1 O 0.0000 0.5917 0.5000
O2 O 0.0000 0.8510 0.5000
O3 O 0.0331 0.2167 0.1880
# - Uncorrected formation energy: -57.559 eV per formula unit
# - Crystal system: trigonal